No. 1
A plane-wave DFT calculation with PBE-GGA was carried out for K2InH6 after structural relaxation.

* total DFT energy (no corrections): -2.598 eV/atom
* energy relative to the lowest polymorph listed for this composition: 48 meV/atom
* DOS at the Fermi energy: 5.28 states/eV/cell
* total moment: 1.018 μB per formula unit

Cell: 5.369 5.369 11.109 Å, 90.00 90.00 90.00°
Space group P4_2/mnm (No. 136)
Symmetry-distinct sites (fractional):
K 0.000 0.000 0.168 [4 per cell]
In 0.000 0.000 0.500 [2 per cell]
H 0.173 0.173 0.374 [8 per cell]
H 0.247 0.753 0.500 [4 per cell]

***

No. 2
A plane-wave DFT calculation with PBE-GGA was carried out for Y3HgMo after structural relaxation.

* total DFT energy (no corrections): -5.737 eV/atom
* energy relative to the lowest polymorph listed for this composition: 0 meV/atom
* DOS at the Fermi energy: 8.44 states/eV/cell
* calculated formation energy: 0.368 eV/atom
* total moment: 0.000 μB per formula unit

Cell: 5.364 5.364 5.364 Å, 90.00 90.00 90.00°
Space group Pm-3m (No. 221)
Symmetry-distinct sites (fractional):
Y 0.000 0.000 0.500 [3 per cell]
Hg 0.500 0.500 0.500 [1 per cell]
Mo 0.000 0.000 0.000 [1 per cell]

***

No. 3
A plane-wave DFT calculation with PBE-GGA was carried out for VFeSb after structural relaxation.

* total DFT energy (no corrections): -6.967 eV/atom
* energy relative to the lowest polymorph listed for this composition: 482 meV/atom
* DOS at the Fermi energy: 5.08 states/eV/cell
* total moment: 3.746 μB per formula unit

Cell: 4.5372 4.5372 5.3752 Å, 90.00 90.00 120.00°
Space group P6_3/mmc (No. 194)
Symmetry-distinct sites (fractional):
V 0.3333 0.6667 0.2500 [2 per cell]
Fe 0.0000 0.0000 0.0000 [2 per cell]
Sb 0.3333 0.6667 0.7500 [2 per cell]

***

No. 4
A plane-wave DFT calculation with PBE-GGA was carried out for KSnC2O6 after structural relaxation.

* total DFT energy (no corrections): -6.784 eV/atom
* DOS at the Fermi energy: 8.60 states/eV/cell
* total moment: 0.000 μB per formula unit

Cell: 9.058 9.776 6.902 Å, 90.00 110.28 90.00°
Space group C2/c (No. 15)
Symmetry-distinct sites (fractional):
K 0.000 0.102 0.250 [4 per cell]
Sn 0.000 0.344 0.750 [4 per cell]
C 0.227 0.390 0.227 [8 per cell]
O 0.114 0.320 0.099 [8 per cell]
O 0.133 0.163 0.681 [8 per cell]
O 0.212 0.484 0.779 [8 per cell]

***

No. 5
A plane-wave DFT calculation with PBE-GGA was carried out for La2NbFeW after structural relaxation.

* total DFT energy (no corrections): -7.257 eV/atom
* DOS at the Fermi energy: 10.01 states/eV/cell
* calculated formation energy: 1.011 eV/atom
* total moment: 0.032 μB per formula unit

Cell: 5.066 5.066 4.687 Å, 90.00 90.00 90.00°
Space group P4/mmm (No. 123)
Symmetry-distinct sites (fractional):
La 0.000 0.500 0.000 [2 per cell]
Nb 0.000 0.000 0.500 [1 per cell]
Fe 0.500 0.500 0.000 [1 per cell]
W 0.500 0.500 0.500 [1 per cell]

***

No. 6
A plane-wave DFT calculation with PBE-GGA was carried out for BaPa2Pd2S6 after structural relaxation.

* total DFT energy (no corrections): -6.455 eV/atom
* total moment: 0.000 μB per formula unit

Cell: 7.082 7.160 7.387 Å, 94.65 114.16 118.68°
Space group P-1 (No. 2)
Symmetry-distinct sites (fractional):
Ba 0.000 0.000 0.000 [1 per cell]
Pa 0.332 0.334 0.667 [2 per cell]
Pd 0.154 0.721 0.675 [2 per cell]
S 0.152 0.917 0.429 [2 per cell]
S 0.234 0.464 0.326 [2 per cell]
S 0.468 0.706 0.952 [2 per cell]

***

No. 7
A plane-wave DFT calculation with PBE-GGA was carried out for ScAuSe2 after structural relaxation.

* total DFT energy (no corrections): -5.072 eV/atom
* DOS at the Fermi energy: 0.00 states/eV/cell
* total moment: 0.000 μB per formula unit

Cell: 6.776 8.335 6.554 Å, 90.00 90.00 90.00°
Space group Pna2_1 (No. 33)
Symmetry-distinct sites (fractional):
Sc 0.247 0.081 0.000 [4 per cell]
Au 0.204 0.432 0.054 [4 per cell]
Se 0.031 0.866 0.801 [4 per cell]
Se 0.048 0.347 0.727 [4 per cell]

***

No. 8
A plane-wave DFT calculation with PBE-GGA was carried out for Li3PuAu3 after structural relaxation.

* total DFT energy (no corrections): -4.319 eV/atom
* DOS at the Fermi energy: 44.97 states/eV/cell
* calculated formation energy: -0.047 eV/atom
* total moment: 6.235 μB per formula unit

Cell: 6.805 6.805 6.805 Å, 90.00 90.00 90.00°
Space group Pm-3n (No. 223)
Symmetry-distinct sites (fractional):
Li 0.000 0.250 0.500 [6 per cell]
Pu 0.000 0.000 0.000 [2 per cell]
Au 0.000 0.500 0.250 [6 per cell]

***

No. 9
A plane-wave DFT calculation with PBE-GGA was carried out for Pr2P3PdRh12 after structural relaxation.

* total DFT energy (no corrections): -6.763 eV/atom
* DOS at the Fermi energy: 54.08 states/eV/cell
* calculated formation energy: -0.141 eV/atom
* total moment: 0.000 μB per formula unit

Cell: 8.5518 8.5518 14.9768 Å, 90.00 90.00 120.00°
Space group R-3m (No. 166, hexagonal axes)
Symmetry-distinct sites (fractional):
Pr 0.0000 0.0000 0.1077 [6 per cell]
P 0.0000 0.5000 0.0000 [9 per cell]
Pd 0.0000 0.0000 0.5000 [3 per cell]
Rh 0.0079 0.5039 0.8537 [18 per cell]
Rh 0.0573 0.5287 0.3590 [18 per cell]

***

No. 10
A plane-wave DFT calculation with PBE-GGA was carried out for Dy2Cd3Hg4 after structural relaxation.

* total DFT energy (no corrections): -1.652 eV/atom
* energy relative to the lowest polymorph listed for this composition: 104 meV/atom
* DOS at the Fermi energy: 25.87 states/eV/cell
* calculated formation energy: -0.190 eV/atom
* total moment: 0.000 μB per formula unit

Cell: 6.199 17.070 8.335 Å, 90.00 90.00 90.00°
Space group Cmce (No. 64)
Symmetry-distinct sites (fractional):
Dy 0.000 0.100 0.095 [8 per cell]
Cd 0.000 0.000 0.500 [4 per cell]
Cd 0.250 0.230 0.750 [8 per cell]
Hg 0.000 0.169 0.461 [8 per cell]
Hg 0.250 0.060 0.750 [8 per cell]

***

No. 11
A plane-wave DFT calculation with PBE-GGA was carried out for SrCa2Ag3 after structural relaxation.

* total DFT energy (no corrections): -2.666 eV/atom
* DOS at the Fermi energy: 4.41 states/eV/cell
* calculated formation energy: -0.293 eV/atom
* total moment: 0.000 μB per formula unit

Cell: 3.822 3.822 11.145 Å, 90.00 90.00 90.00°
Space group P4/mmm (No. 123)
Symmetry-distinct sites (fractional):
Sr 0.000 0.000 0.000 [1 per cell]
Ca 0.000 0.000 0.340 [2 per cell]
Ag 0.500 0.500 0.188 [2 per cell]
Ag 0.500 0.500 0.500 [1 per cell]

***

No. 12
A plane-wave DFT calculation with PBE-GGA was carried out for Rb2Hf2B after structural relaxation.

* total DFT energy (no corrections): -4.233 eV/atom
* DOS at the Fermi energy: 9.64 states/eV/cell
* calculated formation energy: 1.471 eV/atom
* total moment: 1.729 μB per formula unit

Cell: 3.927 3.927 23.348 Å, 90.00 90.00 90.00°
Space group I4/mmm (No. 139)
Symmetry-distinct sites (fractional):
Rb 0.000 0.000 0.089 [4 per cell]
Hf 0.000 0.500 0.250 [4 per cell]
B 0.000 0.000 0.500 [2 per cell]

***

No. 13
A plane-wave DFT calculation with PBE-GGA was carried out for Rb2AuF8 after structural relaxation.

* total DFT energy (no corrections): -3.373 eV/atom
* DOS at the Fermi energy: 18.52 states/eV/cell
* total moment: 1.002 μB per formula unit

Cell: 12.535 5.552 7.318 Å, 90.00 109.60 90.00°
Space group C2/m (No. 12)
Symmetry-distinct sites (fractional):
Rb 0.202 0.000 0.192 [4 per cell]
Au 0.000 0.000 0.500 [2 per cell]
F 0.043 0.000 0.782 [4 per cell]
F 0.114 0.242 0.507 [8 per cell]
F 0.187 0.500 0.085 [4 per cell]

***

No. 14
A plane-wave DFT calculation with PBE-GGA was carried out for Pr6InAs2Se3 after structural relaxation.

* total DFT energy (no corrections): -5.763 eV/atom
* DOS at the Fermi energy: 7.83 states/eV/cell
* total moment: 0.000 μB per formula unit

Cell: 18.926 4.292 8.754 Å, 90.00 103.26 90.00°
Space group C2/m (No. 12)
Symmetry-distinct sites (fractional):
Pr 0.002 0.000 0.262 [4 per cell]
Pr 0.170 0.500 0.092 [4 per cell]
Pr 0.170 0.500 0.577 [4 per cell]
In 0.000 0.500 0.000 [2 per cell]
As 0.168 0.000 0.335 [4 per cell]
Se 0.000 0.500 0.500 [2 per cell]
Se 0.167 0.000 0.832 [4 per cell]

***

No. 15
A plane-wave DFT calculation with PBE-GGA was carried out for VMo4Rh5 after structural relaxation.

* total DFT energy (no corrections): -9.137 eV/atom
* DOS at the Fermi energy: 7.68 states/eV/cell
* calculated formation energy: -0.217 eV/atom
* total moment: 0.000 μB per formula unit

Cell: 2.744 3.900 13.675 Å, 90.00 90.00 90.00°
Space group Pmmm (No. 47)
Symmetry-distinct sites (fractional):
V 0.000 0.000 0.000 [1 per cell]
Mo 0.000 0.000 0.197 [2 per cell]
Mo 0.000 0.000 0.398 [2 per cell]
Rh 0.500 0.500 0.098 [2 per cell]
Rh 0.500 0.500 0.299 [2 per cell]
Rh 0.500 0.500 0.500 [1 per cell]

***

No. 16
A plane-wave DFT calculation with PBE-GGA was carried out for YBe2Pd3 after structural relaxation.

* total DFT energy (no corrections): -5.502 eV/atom
* DOS at the Fermi energy: 11.40 states/eV/cell
* calculated formation energy: -0.586 eV/atom
* total moment: 0.000 μB per formula unit

Cell: 9.0926 9.0926 3.8563 Å, 90.00 90.00 120.00°
Space group P6/mmm (No. 191)
Symmetry-distinct sites (fractional):
Y 0.0000 0.0000 0.0000 [1 per cell]
Y 0.3333 0.6667 0.5000 [2 per cell]
Be 0.1822 0.3644 0.0000 [6 per cell]
Pd 0.0000 0.2931 0.5000 [6 per cell]
Pd 0.0000 0.5000 0.0000 [3 per cell]

***

No. 17
A plane-wave DFT calculation with PBE-GGA was carried out for Ca4As3Pd12Pt after structural relaxation.

* total DFT energy (no corrections): -4.840 eV/atom
* DOS at the Fermi energy: 30.87 states/eV/cell
* calculated formation energy: -0.324 eV/atom
* total moment: 0.000 μB per formula unit

Cell: 9.564 9.564 9.564 Å, 90.00 90.00 90.00°
Space group Im-3m (No. 229)
Symmetry-distinct sites (fractional):
Ca 0.250 0.250 0.250 [8 per cell]
As 0.000 0.000 0.500 [6 per cell]
Pd 0.000 0.000 0.262 [12 per cell]
Pd 0.000 0.250 0.500 [12 per cell]
Pt 0.000 0.000 0.000 [2 per cell]

***

No. 18
A plane-wave DFT calculation with PBE-GGA was carried out for Pr6PS2Br3 after structural relaxation.

* total DFT energy (no corrections): -5.525 eV/atom
* DOS at the Fermi energy: 11.31 states/eV/cell
* total moment: 0.000 μB per formula unit

Cell: 7.044 12.208 7.989 Å, 90.00 107.12 90.00°
Space group C2/m (No. 12)
Symmetry-distinct sites (fractional):
Pr 0.234 0.000 0.202 [4 per cell]
Pr 0.234 0.333 0.203 [8 per cell]
P 0.000 0.500 0.000 [2 per cell]
S 0.000 0.167 0.000 [4 per cell]
Br 0.000 0.000 0.500 [2 per cell]
Br 0.000 0.336 0.500 [4 per cell]

***

No. 19
A plane-wave DFT calculation with PBE-GGA was carried out for CsNaSn3 after structural relaxation.

* total DFT energy (no corrections): -1.746 eV/atom
* energy relative to the lowest polymorph listed for this composition: 752 meV/atom
* DOS at the Fermi energy: 4.28 states/eV/cell
* calculated formation energy: 1.090 eV/atom
* total moment: 0.000 μB per formula unit

Cell: 6.282 6.282 6.282 Å, 90.00 90.00 90.00°
Space group Pm-3m (No. 221)
Symmetry-distinct sites (fractional):
Cs 0.000 0.000 0.000 [1 per cell]
Na 0.500 0.500 0.500 [1 per cell]
Sn 0.000 0.000 0.500 [3 per cell]

***

No. 20
A plane-wave DFT calculation with PBE-GGA was carried out for La2Dy2Cd15 after structural relaxation.

* total DFT energy (no corrections): -1.899 eV/atom
* DOS at the Fermi energy: 36.74 states/eV/cell
* calculated formation energy: -0.174 eV/atom
* total moment: 0.000 μB per formula unit

Cell: 10.1185 10.1185 16.0524 Å, 90.00 90.00 120.00°
Space group R-3m (No. 166, hexagonal axes)
Symmetry-distinct sites (fractional):
La 0.0000 0.0000 0.1714 [6 per cell]
Dy 0.0000 0.0000 0.4027 [6 per cell]
Cd 0.0000 0.2933 0.5000 [18 per cell]
Cd 0.0000 0.5000 0.0000 [9 per cell]
Cd 0.0129 0.5064 0.6381 [18 per cell]